Record 1
SrCr2Os: optimized geometry, PBE.

Lattice parameters (Å, degrees): 3.2781 4.7774 4.7017 90.00 90.00 90.00
Element x y z (fractional)
Cr (0.0000, 0.0000, 0.0000)
Os (0.5000, 0.0000, 0.5000)
Cr (0.5000, 0.5000, 0.0000)
Sr (0.0000, 0.5000, 0.5000)

Output
Energy relative to the lowest polymorph listed for this composition, eV/f.u.: 1.90
Energy of formation, eV per atom: 1.066
Density, g/cm³: 8.611

=====

Record 2
MnNb2Tc: optimized geometry, PBE.

Lattice parameters (Å, degrees): 6.9497 6.9497 5.6135 51.76 51.76 90.00
Element x y z (fractional)
Tc (0.7500, 0.2500, 0.5000)
Nb (0.3750, 0.3906, 0.7500)
Mn (0.5000, 0.5000, 0.0000)
Nb (0.6094, 0.1250, 0.2500)
Nb (0.8750, 0.8594, 0.7500)
Mn (0.2500, 0.7500, 0.5000)
Nb (0.1406, 0.6250, 0.2500)
Tc (0.0000, 0.0000, 0.0000)

Output
Energy relative to the lowest polymorph listed for this composition, eV/f.u.: 3.05
Energy of formation, eV per atom: 0.548
Density, g/cm³: 8.585

=====

Record 3
MnAl2W: optimized geometry, PBE.

Lattice parameters (Å, degrees): 4.6451 4.6451 4.6451 130.45 130.45 72.69
Element x y z (fractional)
Al (0.2500, 0.7500, 0.5000)
Mn (0.5000, 0.5000, 0.0000)
W (0.7500, 0.2500, 0.5000)
Al (0.0000, 0.0000, 0.0000)

Output
Energy relative to the lowest polymorph listed for this composition, eV/f.u.: 0.60
Energy of formation, eV per atom: -0.021
Density, g/cm³: 8.572

=====

Record 4
Re5P4: optimized geometry, PBE.

Lattice parameters (Å, degrees): 7.0668 7.0668 7.0668 92.56 92.56 155.60
Element x y z (fractional)
P (0.0000, 0.2872, 0.2872)
Re (0.3392, 0.6608, 0.0000)
Re (0.6608, 0.6608, 0.3216)
Re (0.0000, 0.0000, 0.0000)
P (0.0000, 0.7128, 0.7128)
P (0.7128, 0.0000, 0.7128)
Re (0.3392, 0.3392, 0.6784)
Re (0.6608, 0.3392, 0.0000)
P (0.2872, 0.0000, 0.2872)

Output
Energy relative to the lowest polymorph listed for this composition, eV/f.u.: 0.71
Energy of formation, eV per atom: 0.273
Density, g/cm³: 12.292

=====

Record 5
SrCoN: optimized geometry, PBE.

Lattice parameters (Å, degrees): 4.2884 3.4695 3.4695 120.00 90.00 90.00
Element x y z (fractional)
N (0.1667, 0.0000, 0.0000)
Co (0.1667, 0.3333, 0.6667)
Sr (0.6666, 0.6667, 0.3333)

Output
Calculated total energy, eV for the cell shown: -17.121
Density, g/cm³: 5.964

=====

Record 6
Na3CuAg3Br8: optimized geometry, PBE.

Lattice parameters (Å, degrees): 8.3533 8.4720 8.1032 119.43 90.00 119.54
Element x y z (fractional)
Cu (0.0000, 0.0000, 0.5000)
Br (0.2509, 0.5019, 0.2486)
Ag (0.0000, 0.5000, 0.0000)
Br (0.7887, 0.9972, 0.7177)
Br (0.2086, 0.9972, 0.7177)
Br (0.7491, 0.4981, 0.7514)
Br (0.2113, 0.0028, 0.2823)
Na (0.0000, 0.5000, 0.5000)
Ag (0.5000, 0.5000, 0.0000)
Na (0.5000, 0.0000, 0.5000)
Br (0.7374, 0.4748, 0.2186)
Br (0.7914, 0.0028, 0.2823)
Na (0.5000, 0.5000, 0.5000)
Br (0.2626, 0.5252, 0.7814)
Ag (0.0000, 0.0000, 0.0000)

Output
Calculated total energy, eV for the cell shown: -41.673
Density, g/cm³: 4.418

=====

Record 7
Ti3Ge2Mo: optimized geometry, PBE.

Lattice parameters (Å, degrees): 4.2345 7.0362 7.5341 117.84 106.31 90.00
Element x y z (fractional)
Mo (0.0000, 0.0000, 0.0000)
Ti (0.1730, 0.4232, 0.3464)
Ti (0.8270, 0.0768, 0.6536)
Ti (0.8270, 0.5768, 0.6536)
Mo (0.0000, 0.5000, 0.0000)
Ge (0.6548, 0.1547, 0.3094)
Ti (0.1730, 0.9232, 0.3464)
Ti (0.5000, 0.2500, 0.0000)
Ti (0.5000, 0.7500, 0.0000)
Ge (0.6548, 0.6547, 0.3094)
Ge (0.3452, 0.3453, 0.6906)
Ge (0.3452, 0.8453, 0.6906)

Output
Energy of formation, eV per atom: -0.506
Density, g/cm³: 6.790

=====

Record 8
Cs2GaHg7: optimized geometry, PBE.

Lattice parameters (Å, degrees): 5.3682 5.3682 11.9764 90.00 90.00 90.00
Element x y z (fractional)
Hg (0.0000, 0.0000, 0.5000)
Ga (0.5000, 0.5000, 0.0000)
Hg (0.5000, 0.0000, 0.1027)
Hg (0.5000, 0.5000, 0.5000)
Hg (0.0000, 0.5000, 0.8973)
Hg (0.5000, 0.0000, 0.3594)
Hg (0.0000, 0.0000, 0.0000)
Hg (0.0000, 0.5000, 0.6406)
Cs (0.0000, 0.5000, 0.2467)
Cs (0.5000, 0.0000, 0.7533)

Output
Energy relative to the lowest polymorph listed for this composition, eV/f.u.: 0.00
Energy of formation, eV per atom: -0.165
Density, g/cm³: 8.370

=====

Record 9
Pm2AgP: optimized geometry, PBE.

Lattice parameters (Å, degrees): 4.0687 4.0687 7.8432 74.97 74.97 60.00
Element x y z (fractional)
Ag (0.5001, 0.5001, 0.4997)
Pm (0.0720, 0.0720, 0.7839)
Pm (0.2616, 0.2616, 0.2152)
P (0.6663, 0.6663, 0.0012)

Output
Energy relative to the lowest polymorph listed for this composition, eV/f.u.: 0.00
Energy of formation, eV per atom: -0.827
Density, g/cm³: 6.638

=====

Record 10
KCuW2: optimized geometry, PBE.

Lattice parameters (Å, degrees): 4.6183 4.6183 7.6284 87.93 87.93 33.11
Element x y z (fractional)
W (0.9914, 0.9914, 0.0941)
K (0.7564, 0.7564, 0.7414)
W (0.2428, 0.2428, 0.2583)
Cu (0.5094, 0.5094, 0.4062)

Output
Energy relative to the lowest polymorph listed for this composition, eV/f.u.: 1.03
Energy of formation, eV per atom: 1.007
Density, g/cm³: 8.795

=====

Record 11
RbCd2AgHg: optimized geometry, PBE.

Lattice parameters (Å, degrees): 5.4648 5.4648 5.5684 90.00 90.00 90.00
Element x y z (fractional)
Rb (0.5000, 0.5000, 0.5000)
Ag (0.0000, 0.0000, 0.0000)
Cd (0.0000, 0.5000, 0.0000)
Cd (0.5000, 0.0000, 0.0000)
Hg (0.0000, 0.0000, 0.5000)

Output
Energy relative to the lowest polymorph listed for this composition, eV/f.u.: 0.00
Energy of formation, eV per atom: -0.007
Density, g/cm³: 6.179

=====

Record 12
Pm2ZnPdO6: optimized geometry, PBE.

Lattice parameters (Å, degrees): 5.4683 5.8168 7.8198 90.00 90.11 90.00
Element x y z (fractional)
O (0.6879, 0.2974, 0.5566)
Pm (0.4798, 0.4284, 0.2492)
O (0.1879, 0.2026, 0.0566)
Pd (0.5000, 0.0000, 0.5000)
Pm (0.0202, 0.9284, 0.2508)
O (0.8037, 0.8062, 0.5540)
O (0.3037, 0.6938, 0.0540)
Pm (0.9798, 0.0716, 0.7492)
O (0.3912, 0.9635, 0.7478)
Zn (0.5000, 0.0000, 0.0000)
O (0.8912, 0.5365, 0.2478)
O (0.1088, 0.4635, 0.7522)
Zn (0.0000, 0.5000, 0.5000)
O (0.6963, 0.3062, 0.9460)
Pd (0.0000, 0.5000, 0.0000)
O (0.6088, 0.0365, 0.2522)
O (0.3121, 0.7026, 0.4434)
O (0.1963, 0.1938, 0.4460)
Pm (0.5202, 0.5716, 0.7508)
O (0.8121, 0.7974, 0.9434)

Output
Calculated total energy, eV for the cell shown: -134.232
Density, g/cm³: 7.448